No. 1
VASP calculation (PBE) on a relaxed K2DyBiO4 crystal.

abc: 6.168 3.543 6.607
angles: 90.00 107.95 90.00
Space group P2/m (No. 10)
Unique sites:
K1 0.000 0.000 0.000 x1
K2 0.500 0.500 0.000 x1
Dy1 0.000 0.500 0.500 x1
Bi1 0.500 0.000 0.500 x1
O1 0.218 0.000 0.689 x2
O2 0.254 0.500 0.303 x2

Values from the calculation:
Uncorrected formation energy in eV/atom: -2.051
DOS(E_F) in states/eV/atom: 0.000

***

No. 2
VASP calculation (PBE) on a relaxed Pr4CuCl5 crystal.

abc: 18.088 4.010 8.545
angles: 90.00 102.26 90.00
Space group C2/m (No. 12)
Unique sites:
Pr1 0.003 0.000 0.234 x4
Pr2 0.163 0.500 0.075 x4
Cu1 0.000 0.500 0.000 x2
Cl1 0.000 0.500 0.500 x2
Cl2 0.167 0.000 0.319 x4
Cl3 0.167 0.000 0.825 x4

Values from the calculation:
Uncorrected formation energy in eV/atom: -1.543
DOS(E_F) in states/eV/atom: 0.552

***

No. 3
VASP calculation (PBE) on a relaxed Pr2Ga4SnAu3 crystal.

abc: 4.433 4.433 11.002
angles: 90.00 90.00 90.00
Space group P-4m2 (No. 115)
Unique sites:
Pr1 0.000 0.500 0.242 x2
Ga1 0.000 0.000 0.000 x1
Ga2 0.000 0.500 0.648 x2
Ga3 0.500 0.500 0.000 x1
Sn1 0.000 0.000 0.500 x1
Au1 0.000 0.500 0.874 x2
Au2 0.500 0.500 0.500 x1

Values from the calculation:
DOS(E_F) in states/eV/atom: 0.398
Formation energy from the elements in meV per atom: -612

***

| no. | uncorrected energy (eV per atom) |
| --- | --- |
| 1 | -5.86 |
| 2 | -4.79 |
| 3 | -4.16 |